Below is K2CaAs2O6 after structural relaxation, with properties calculated at the GGA-PBE level.

Its magnetic moment is 0.00 μB/atom. For the total energy, the calculation gives -5.774 eV per atom.

Cell lengths 10.3929, 6.0651, 7.0828 Å; angles 90.00, 122.15, 90.00 degrees
With the nearest neighbours (Å) after each atom.
Space group C2/m (No. 12)
Asymmetric unit:
K 0.2093 0.0000 0.1894 x4  7 O 2.86-3.17
Ca 0.0000 0.0000 0.5000 x2  6 O 2.36-2.37
As 0.0416 0.5000 0.1995 x4  3 O 1.71-1.72
O 0.0377 0.2649 0.7688 x8  1 As 1.72
O 0.2357 0.5000 0.3608 x4  1 As 1.71

***

Below is KCaMn2 after structural relaxation, with properties calculated at the GGA-PBE level.

Its magnetic moment is 1.99 μB/atom. The polymorph energy (0 for the lowest one) is 150 meV per atom.

Cell lengths 3.4222, 5.6805, 11.7138 Å; angles 90.00, 90.00, 90.00 degrees
With the nearest neighbours (Å) after each atom.
Space group Imm2 (No. 44)
Asymmetric unit:
K 0.0000 0.0000 0.0000 x2  6 Mn 3.39-3.58, 2 K 3.42, 2 Ca 3.73
Ca 0.0000 0.5000 0.2062 x2  6 Mn 3.40-3.54, 2 Ca 3.42, 2 K 3.73
Mn 0.0000 0.0000 0.4417 x2  2 Mn 2.65
Mn 0.0000 0.5000 0.7688 x2  2 Mn 2.65

***

Below is Ti3BiS after structural relaxation, with properties calculated at the GGA-PBE level.

Its magnetic moment is 0.07 μB/atom. The polymorph energy (0 for the lowest one) is 53 meV per atom.

Cell lengths 5.9220, 14.3166, 4.5282 Å; angles 90.00, 90.00, 90.00 degrees
With the nearest neighbours (Å) after each atom.
Space group Cmmm (No. 65)
Asymmetric unit:
Ti 0.0000 0.1731 0.0000 x4  2 S 2.39
Ti 0.2323 0.5000 0.5000 x4  2 S 2.33
Ti 0.2500 0.2500 0.5000 x4  2 S 2.39
Bi 0.0000 0.3774 0.0000 x4  11 Ti 2.93-3.26
S 0.0000 0.1192 0.5000 x4  6 Ti 2.33-2.39

***

Below is Ho2Er8Mg after structural relaxation, with properties calculated at the GGA-PBE level.

Its magnetic moment is 0.00 μB/atom. The polymorph energy (0 for the lowest one) is 0 meV per atom.

Cell lengths 19.1399, 5.4926, 6.3464 Å; angles 90.00, 94.65, 90.00 degrees
With the nearest neighbours (Å) after each atom.
Space group C2/m (No. 12)
Asymmetric unit:
Ho 0.2427 0.0000 0.3347 x4  10 Er 3.37-3.75, 2 Ho 3.45
Er 0.0462 0.0000 0.2634 x4  2 Mg 3.30, 7 Er 3.49-3.67
Er 0.0792 0.5000 0.5953 x4  1 Mg 3.09, 3 Er 3.17-3.32, 1 Ho 3.40
Er 0.1527 0.0000 0.8087 x4  6 Er 3.32-3.67, 4 Ho 3.56-3.63
Er 0.1614 0.5000 0.1260 x4  1 Mg 3.13, 2 Ho 3.37, 3 Er 3.40-3.48
Mg 0.0000 0.5000 0.0000 x2  8 Er 3.09-3.30

***

Below is Na3Pm2SmO6 after structural relaxation, with properties calculated at the GGA-PBE level.

Its magnetic moment is 0.00 μB/atom. For the total energy, the calculation gives -6.654 eV per atom.

Cell lengths 6.1479, 10.6480, 5.9859 Å; angles 90.00, 110.03, 90.00 degrees
With the nearest neighbours (Å) after each atom.
Space group C2/m (No. 12)
Asymmetric unit:
Na 0.0000 0.0000 0.0000 x2  6 O 2.60-2.61
Na 0.0000 0.3342 0.0000 x4  6 O 2.59-2.61
Pm 0.0000 0.1667 0.5000 x4  6 O 2.38
Sm 0.0000 0.5000 0.5000 x2  6 O 2.37
O 0.2377 0.3341 0.7153 x8  1 Sm 2.37, 2 Pm 2.38, 3 Na 2.60-2.61
O 0.2399 0.0000 0.7151 x4  1 Sm 2.37, 2 Pm 2.38, 3 Na 2.59-2.61

***

Below is Al2MoCl after structural relaxation, with properties calculated at the GGA-PBE level.

Its magnetic moment is 0.00 μB/atom. The polymorph energy (0 for the lowest one) is 616 meV per atom.

Cell lengths 9.9427, 2.8406, 4.6911 Å; angles 90.00, 94.07, 90.00 degrees
With the nearest neighbours (Å) after each atom.
Space group C2/m (No. 12)
Asymmetric unit:
Al 0.2271 0.0000 0.2385 x4  1 Cl 2.64, 6 Al 2.72-2.84, 2 Mo 2.83
Mo 0.0000 0.5000 0.0000 x2  4 Cl 2.74, 6 Al 2.83-3.01, 2 Mo 2.84
Cl 0.0000 0.0000 0.5000 x2  2 Al 2.64, 4 Mo 2.74, 2 Cl 2.84

***

Below is AlHg2H after structural relaxation, with properties calculated at the GGA-PBE level.

Its magnetic moment is 0.00 μB/atom. The polymorph energy (0 for the lowest one) is 0 meV per atom.

Cell lengths 5.0798, 5.0798, 12.7103 Å; angles 90.00, 90.00, 90.00 degrees
With the nearest neighbours (Å) after each atom.
Space group I-42d (No. 122)
Asymmetric unit:
Al 0.0000 0.0000 0.0000 x4  4 Hg 2.66
Hg 0.1634 0.2500 0.6250 x8  2 H 2.20
H 0.0000 0.0000 0.5000 x4  4 Hg 2.20

***

Below is RuF6 after structural relaxation, with properties calculated at the GGA-PBE level.

Its magnetic moment is 0.29 μB/atom. For the total energy, the calculation gives -4.472 eV per atom.

Cell lengths 6.4251, 6.4251, 6.4251 Å; angles 90.00, 90.00, 90.00 degrees
With the nearest neighbours (Å) after each atom.
Space group Im-3m (No. 229)
Asymmetric unit:
Ru 0.0000 0.0000 0.0000 x2  6 F 1.86
F 0.0000 0.0000 0.2892 x12  1 Ru 1.86